The following is a DFT calculation (GGA-PBE) of an optimized crystal structure of Sc2SbAsPd2.

a = 10.8283 Å, b = 4.4218 Å, c = 10.8289 Å
α = 90.00°, β = 109.50°, γ = 90.00°
Fractional positions:
Pd 0.4930 0.0000 0.4944
As 0.4984 0.0000 0.2493
Pd 0.0020 0.0000 0.0060
Pd 0.1277 0.5000 0.3727
Pd 0.7458 0.0000 0.2439
Pd 0.6303 0.5000 0.8803
Pd 0.8747 0.5000 0.6252
Sc 0.7436 0.0000 0.4940
Sc 0.1285 0.5000 0.6199
Sc 0.2508 0.0000 0.0073
Sc 0.8781 0.5000 0.8843
Sc 0.5028 0.0000 0.7507
Sc 0.6228 0.5000 0.1250
As 0.1262 0.5000 0.1268
Sb 0.8744 0.5000 0.3731
Sb 0.6237 0.5000 0.6245
Sc 0.3709 0.5000 0.3716
Sc 0.0030 0.0000 0.2492
Pd 0.3746 0.5000 0.1290
Sb 0.0007 0.0000 0.7511
Pd 0.2513 0.0000 0.7464
As 0.7516 0.0000 0.0014
Sb 0.3756 0.5000 0.8760
As 0.2494 0.0000 0.4980

Magnetic moment in μB/atom: 0.0003

---

The following is a DFT calculation (GGA-PBE) of an optimized crystal structure of SrSbAsPd2.

a = 4.6057 Å, b = 4.6057 Å, c = 10.3835 Å
α = 90.00°, β = 90.00°, γ = 90.00°
Fractional positions:
Sr 0.5000 0.0000 0.7382
Sb 0.5000 0.0000 0.1354
Sb 0.0000 0.5000 0.8646
As 0.5000 0.5000 0.5000
Pd 0.5000 0.0000 0.3915
Sr 0.0000 0.5000 0.2618
Pd 0.5000 0.5000 0.0000
Pd 0.0000 0.0000 0.0000
As 0.0000 0.0000 0.5000
Pd 0.0000 0.5000 0.6085

---

The following is a DFT calculation (GGA-PBE) of an optimized crystal structure of ScAs2Pd.

a = 4.6691 Å, b = 4.6691 Å, c = 4.6691 Å
α = 60.00°, β = 60.00°, γ = 60.00°
Fractional positions:
Pd 0.0000 0.0000 0.0000
As 0.5000 0.5000 0.5000
As 0.7500 0.7500 0.7500
Sc 0.2500 0.2500 0.2500

Magnetic moment in μB/atom: 0.0000

---

In the order shown, the computed VASP energy values come out to -6.33 -4.96 -5.62 eV per atom.